[1]
# LaVAgI2

A relaxed structure of LaVAgI2 (GGA-PBE, the Alexandria database).

Lattice parameters (Å, degrees): 6.2155 6.0305 6.2155 90.00 90.00 90.00
Last column: nearest neighbours and their distance in Å.
Atoms (fractional coordinates):
I1 0.0000 0.0000 0.5000  2 La 3.11
I2 0.5000 0.0000 0.0000  2 La 3.11
V1 0.5000 0.5000 0.5000  8 I 4.33, 4 Ag 4.40
Ag1 0.0000 0.5000 0.0000  2 La 3.02
La1 0.0000 0.0000 0.0000  2 Ag 3.02, 4 I 3.11

Values from the calculation:
* V: 232.97 Å³ per cell
* energy relative to the elements, uncorrected: 2.1 eV/f.u.
* uncorrected energy: -3.58 eV per atom

---

[2]
# Li4Ag2I

A relaxed structure of Li4Ag2I (GGA-PBE, the Alexandria database).

Lattice parameters (Å, degrees): 5.2331 5.2331 7.7661 70.31 70.31 90.00
Last column: nearest neighbours and their distance in Å.
Atoms (fractional coordinates):
I1 0.0000 0.0000 0.0000  6 Li 2.62-2.78
Ag1 0.3967 0.3967 0.2066  1 Li 2.63, 1 Ag 2.82
Ag2 0.6033 0.6033 0.7934  1 Li 2.63, 1 Ag 2.82
Li1 0.2038 0.2038 0.5924  1 Ag 2.63, 1 I 2.78
Li2 0.7962 0.7962 0.4076  1 Ag 2.63, 1 I 2.78
Li3 0.0000 0.5000 0.0000  2 I 2.62
Li4 0.5000 0.0000 0.0000  2 I 2.62

Values from the calculation:
* V: 186.98 Å³ per cell
* energy relative to the elements, uncorrected: -0.7 eV/f.u.
* uncorrected energy: -2.24 eV per atom

---

[3]
# LiAgI2

A relaxed structure of LiAgI2 (GGA-PBE, the Alexandria database).

Lattice parameters (Å, degrees): 3.8554 3.8554 7.7175 90.00 90.00 90.00
Last column: nearest neighbours and their distance in Å.
Atoms (fractional coordinates):
I1 0.0000 0.0000 0.7490  4 Li 3.34, 4 Ag 3.34
I2 0.0000 0.0000 0.2510  4 Li 3.34, 4 Ag 3.34
Ag1 0.5000 0.5000 0.0000  8 I 3.34
Li1 0.5000 0.5000 0.5000  8 I 3.34

Values from the calculation:
* V: 114.72 Å³ per cell
* relative energy among the computed polymorphs: 0.3543 eV/atom
* energy relative to the elements, uncorrected: -1.5 eV/f.u.
* uncorrected energy: -2.35 eV per atom

---

[4]
# LiAg2I3

A relaxed structure of LiAg2I3 (GGA-PBE, the Alexandria database).

Lattice parameters (Å, degrees): 4.4632 8.1957 11.6956 103.12 90.00 90.00
Last column: nearest neighbours and their distance in Å.
Atoms (fractional coordinates):
Li1 0.2500 0.7929 0.2666  3 I 2.81-2.85
Li2 0.7500 0.2071 0.7334  3 I 2.81-2.85
Ag1 0.2500 0.4116 0.9243  4 I 2.89-2.90, 2 Ag 3.01
Ag2 0.7500 0.5884 0.0757  4 I 2.89-2.90, 2 Ag 3.01
Ag3 0.7500 0.0595 0.4304  4 I 2.87-2.94, 2 Ag 3.05
Ag4 0.2500 0.9405 0.5696  4 I 2.87-2.94, 2 Ag 3.05
I1 0.7500 0.9440 0.1789  2 Li 2.85, 2 Ag 2.88-2.89
I2 0.2500 0.0560 0.8211  2 Li 2.85, 2 Ag 2.88-2.89
I3 0.7500 0.5550 0.8234  1 Li 2.81, 3 Ag 2.90
I4 0.2500 0.4450 0.1766  1 Li 2.81, 3 Ag 2.90
I5 0.2500 0.2736 0.5146  3 Ag 2.87-2.94
I6 0.7500 0.7264 0.4854  3 Ag 2.87-2.94

Values from the calculation:
* V: 416.64 Å³ per cell
* relative energy among the computed polymorphs: 0.0437 eV/atom
* energy relative to the elements, uncorrected: -3.2 eV/f.u.
* uncorrected energy: -2.58 eV per atom

---

Question: Which value of energy relative to the elements, uncorrected does entry 4 give?
Answer: -3.2 eV/f.u.